No. 1
Density functional theory data (GGA-PBE) for crystalline PaGa4Ge at its relaxed geometry.

```
PaGa4Ge
1.0
0.000 3.860 3.860
3.860 0.000 3.860
3.860 3.860 0.000
Pa Ga Ge
1 4 1
Direct
0.000 0.000 0.000
0.376 0.376 0.376
0.376 0.376 0.873
0.376 0.873 0.376
0.873 0.376 0.376
0.750 0.750 0.750
```

=====

No. 2
Density functional theory data (GGA-PBE) for crystalline Pa3Ga4Ge3 at its relaxed geometry.

```
Pa3Ga4Ge3
1.0
-4.730 4.730 4.730
4.730 -4.730 4.730
4.730 4.730 -4.730
Pa Ga Ge
6 8 6
Direct
0.125 0.750 0.875
0.250 0.625 0.375
0.375 0.250 0.625
0.625 0.375 0.250
0.750 0.875 0.125
0.875 0.125 0.750
0.000 0.299 0.500
0.000 0.799 0.500
0.201 0.201 0.201
0.299 0.500 0.000
0.500 0.000 0.299
0.500 0.000 0.799
0.701 0.701 0.701
0.799 0.500 0.000
0.125 0.875 0.250
0.250 0.125 0.875
0.375 0.625 0.750
0.625 0.750 0.375
0.750 0.375 0.625
0.875 0.250 0.125
```

=====

No. 3
Density functional theory data (GGA-PBE) for crystalline Pa2Ga2Ge at its relaxed geometry.

```
Pa2Ga2Ge
1.0
4.304 0.000 0.000
-2.152 3.727 0.000
0.000 0.000 14.003
Pa Ga Ge
4 4 2
Direct
0.333 0.667 0.112
0.333 0.667 0.388
0.667 0.333 0.612
0.667 0.333 0.888
0.000 0.000 0.000
0.000 0.000 0.500
0.333 0.667 0.750
0.667 0.333 0.250
0.000 0.000 0.250
0.000 0.000 0.750
```

=====

No. 4
Density functional theory data (GGA-PBE) for crystalline Pa2GaGe at its relaxed geometry.

```
Pa2GaGe
1.0
3.242 0.000 0.000
0.000 3.242 0.000
0.000 0.000 8.256
Pa Ga Ge
2 1 1
Direct
0.000 0.000 0.247
0.000 0.000 0.753
0.500 0.500 0.500
0.500 0.500 0.000
```

Output
Polymorph energy (0 for the lowest one) in kJ per mole of atoms: 0.62

=====

No. 5
Density functional theory data (GGA-PBE) for crystalline Pa15Ga4Ge at its relaxed geometry.

```
Pa15Ga4Ge
1.0
4.485 0.000 0.000
0.000 4.485 0.000
0.000 0.000 22.769
Pa Ga Ge
15 4 1
Direct
0.000 0.000 0.000
0.000 0.000 0.200
0.000 0.000 0.400
0.000 0.000 0.600
0.000 0.000 0.800
0.000 0.500 0.099
0.000 0.500 0.300
0.000 0.500 0.500
0.000 0.500 0.700
0.000 0.500 0.901
0.500 0.000 0.099
0.500 0.000 0.300
0.500 0.000 0.500
0.500 0.000 0.700
0.500 0.000 0.901
0.500 0.500 0.199
0.500 0.500 0.400
0.500 0.500 0.600
0.500 0.500 0.801
0.500 0.500 0.000
```

=====

No. 6
Density functional theory data (GGA-PBE) for crystalline PaGaGe2 at its relaxed geometry.

```
PaGaGe2
1.0
2.244 1.296 4.631
-2.244 1.296 4.631
0.000 -2.591 4.631
Pa Ga Ge
1 1 2
Direct
0.000 0.000 0.000
0.500 0.500 0.500
0.226 0.226 0.226
0.774 0.774 0.774
```

Output
Polymorph energy (0 for the lowest one) in kJ per mole of atoms: 30.91

=====

No. 7
Density functional theory data (GGA-PBE) for crystalline PaGaGe2 at its relaxed geometry.

```
PaGaGe2
1.0
4.349 0.000 0.000
0.000 4.349 0.000
0.000 0.000 4.140
Pa Ga Ge
1 1 2
Direct
0.000 0.000 0.000
0.500 0.500 0.000
0.000 0.500 0.500
0.500 0.000 0.500
```

Output
Polymorph energy (0 for the lowest one) in kJ per mole of atoms: 0.00

=====

No. 8
Density functional theory data (GGA-PBE) for crystalline Pa2GaGe at its relaxed geometry.

```
Pa2GaGe
1.0
0.000 3.541 3.541
3.541 0.000 3.541
3.541 3.541 0.000
Pa Ga Ge
2 1 1
Direct
0.250 0.250 0.250
0.750 0.750 0.750
0.000 0.000 0.000
0.500 0.500 0.500
```

Output
Polymorph energy (0 for the lowest one) in kJ per mole of atoms: 11.76

=====

No. 9
Density functional theory data (GGA-PBE) for crystalline PaGa2Ge at its relaxed geometry.

```
PaGa2Ge
1.0
2.235 1.290 4.744
-2.235 1.290 4.744
0.000 -2.581 4.744
Pa Ga Ge
1 2 1
Direct
0.000 0.000 0.000
0.222 0.222 0.222
0.778 0.778 0.778
0.500 0.500 0.500
```

Output
Polymorph energy (0 for the lowest one) in kJ per mole of atoms: 37.55

=====

No. 10
Density functional theory data (GGA-PBE) for crystalline Pa2Ga4Ge at its relaxed geometry.

```
Pa2Ga4Ge
1.0
0.000 6.699 6.699
6.699 0.000 6.699
6.699 6.699 0.000
Pa Ga Ge
8 16 4
Direct
0.166 0.778 0.778
0.222 0.222 0.222
0.222 0.222 0.834
0.222 0.834 0.222
0.778 0.166 0.778
0.778 0.778 0.166
0.778 0.778 0.778
0.834 0.222 0.222
0.000 0.000 0.000
0.000 0.000 0.500
0.000 0.500 0.000
0.151 0.151 0.599
0.151 0.599 0.151
0.151 0.599 0.599
0.401 0.401 0.849
0.401 0.849 0.401
0.401 0.849 0.849
0.500 0.000 0.000
0.599 0.151 0.151
0.599 0.151 0.599
0.599 0.599 0.151
0.849 0.401 0.401
0.849 0.401 0.849
0.849 0.849 0.401
0.000 0.500 0.500
0.500 0.000 0.500
0.500 0.500 0.000
0.500 0.500 0.500
```

=====

No. 11
Density functional theory data (GGA-PBE) for crystalline Pa2GaGe at its relaxed geometry.

```
Pa2GaGe
1.0
4.572 0.000 0.000
0.000 4.572 0.000
0.000 0.000 4.148
Pa Ga Ge
2 1 1
Direct
0.000 0.500 0.000
0.500 0.000 0.000
0.000 0.000 0.500
0.500 0.500 0.500
```

Output
Polymorph energy (0 for the lowest one) in kJ per mole of atoms: 0.00

=====

No. 12
Density functional theory data (GGA-PBE) for crystalline Pa4Ga12Ge at its relaxed geometry.

```
Pa4Ga12Ge
1.0
-4.363 4.363 4.363
4.363 -4.363 4.363
4.363 4.363 -4.363
Pa Ga Ge
4 12 1
Direct
0.000 0.000 0.500
0.000 0.500 0.000
0.500 0.000 0.000
0.500 0.500 0.500
0.000 0.303 0.303
0.000 0.697 0.697
0.250 0.500 0.750
0.250 0.750 0.500
0.303 0.000 0.303
0.303 0.303 0.000
0.500 0.250 0.750
0.500 0.750 0.250
0.697 0.000 0.697
0.697 0.697 0.000
0.750 0.250 0.500
0.750 0.500 0.250
0.000 0.000 0.000
```

=====

no.,formation energy (eV per atom),ρ (kg/m³)
1,-0.0176,8409
2,-0.2091,9334
3,-0.1601,9969
4,-0.2923,11564
5,-0.1812,13840
6,-0.1490,9167
7,-0.4694,9460
8,-0.1768,11306
9,-0.0440,8965
10,-0.0541,8988
11,-0.2987,11575
12,-0.3055,9164